Crystalline KMo2Pt at its relaxed geometry. Source: the Alexandria database, functional PBE.

Summary:
Magnetic moment, Bohr magnetons per cell: 0.00
N(E_F), states/eV/cell: 4.086
Relative energy among the computed polymorphs, eV per atom: 0.816
ρ, Mg/m³: 9.530
Energy of formation from the pure elements, eV per atom: 1.22

a b c (Å): 3.876 3.876 4.942
angles (deg): 90.00 90.00 90.00
Space group P4/mmm (No. 123)
Unique sites:
K 0.000 0.000 0.000 x1
Mo 0.000 0.500 0.500 x2
Pt 0.500 0.500 0.000 x1



Crystalline MgScRu at its relaxed geometry. Source: the Alexandria database, functional PBE.

Summary:
Magnetic moment, Bohr magnetons per cell: 0.00
N(E_F), states/eV/cell: 4.093
ρ, Mg/m³: 5.115
Energy of formation from the pure elements, eV per atom: -0.29

a b c (Å): 3.291 3.291 10.208
angles (deg): 90.00 90.00 90.00
Space group I4mm (No. 107)
Unique sites:
Mg 0.000 0.000 0.000 x2
Sc 0.000 0.000 0.717 x2
Ru 0.000 0.000 0.351 x2



Which value of magnetic moment does entry 2 give? 0.00 Bohr magnetons per cell